[1]
Here is a relaxed WSeCl2 crystal from the Alexandria database. Energies are from PBE.

Unit cell a=8.6342 b=8.6342 c=8.6342 alpha=22.11 beta=22.11 gamma=22.11
Element x y z (fractional)
W 0.0000 0.0000 0.0000
Se 0.2671 0.2671 0.2671
Cl 0.5152 0.5152 0.5152
Cl 0.7334 0.7334 0.7334

Summary:
**Crystal system**: trigonal
**E**: -5.15 eV per atom
**Energy above the lowest structure with this stoichiometry**: 336.4 meV per atom



[2]
Here is a relaxed LiAlGe crystal from the Alexandria database. Energies are from PBE.

Unit cell a=2.9561 b=4.3074 c=8.2653 alpha=90.00 beta=90.00 gamma=90.00
Element x y z (fractional)
Li 0.0000 0.0000 0.0000
Li 0.0000 0.5000 0.5000
Al 0.5000 0.0000 0.3385
Al 0.5000 0.0000 0.6615
Ge 0.5000 0.5000 0.1688
Ge 0.5000 0.5000 0.8312

Summary:
**ΔE_f**: -0.20 eV per formula unit
**Crystal system**: orthorhombic
**E**: -3.49 eV per atom



[3]
Here is a relaxed Sr2Li2LaSb2 crystal from the Alexandria database. Energies are from PBE.

Unit cell a=12.5260 b=12.5260 c=12.5260 alpha=21.34 beta=21.34 gamma=21.34
Element x y z (fractional)
Sr 0.1192 0.1192 0.1192
Sr 0.8808 0.8808 0.8808
Li 0.3914 0.3914 0.3914
Li 0.6086 0.6086 0.6086
La 0.0000 0.0000 0.0000
Sb 0.2768 0.2768 0.2768
Sb 0.7232 0.7232 0.7232

Summary:
**Crystal system**: trigonal
**E**: -3.66 eV per atom



[4]
Here is a relaxed La5SmAlCd2 crystal from the Alexandria database. Energies are from PBE.

Unit cell a=11.1121 b=11.1121 c=11.1121 alpha=138.54 beta=138.54 gamma=60.08
Element x y z (fractional)
La 0.0000 0.0000 0.0000
La 0.0691 0.5691 0.9177
La 0.1514 0.0691 0.5000
La 0.3486 0.8486 0.9177
La 0.4309 0.3486 0.5000
La 0.5000 0.5000 0.0000
La 0.5691 0.6514 0.5000
La 0.6514 0.1514 0.0823
La 0.8486 0.9309 0.5000
La 0.9309 0.4309 0.0823
Sm 0.2500 0.2500 0.0000
Sm 0.7500 0.7500 0.0000
Al 0.2500 0.7500 0.5000
Al 0.7500 0.2500 0.5000
Cd 0.1199 0.3801 0.5000
Cd 0.3801 0.8801 0.2602
Cd 0.6199 0.1199 0.7398
Cd 0.8801 0.6199 0.5000

Summary:
**ΔE_f**: -0.61 eV per formula unit
**Crystal system**: tetragonal
**E**: -3.95 eV per atom



[5]
Here is a relaxed CsSrSb2Te crystal from the Alexandria database. Energies are from PBE.

Unit cell a=6.2134 b=6.2134 c=6.2563 alpha=90.00 beta=90.00 gamma=90.00
Element x y z (fractional)
Cs 0.0000 0.0000 0.0000
Sr 0.5000 0.5000 0.5000
Sb 0.0000 0.5000 0.5000
Sb 0.5000 0.0000 0.5000
Te 0.5000 0.5000 0.0000

Summary:
**Crystal system**: tetragonal
**E**: -2.85 eV per atom
**Energy above the lowest structure with this stoichiometry**: 0.0 meV per atom



[6]
Here is a relaxed Tl2FeRh crystal from the Alexandria database. Energies are from PBE.

Unit cell a=8.7583 b=8.7583 c=8.7583 alpha=21.02 beta=21.02 gamma=21.02
Element x y z (fractional)
Tl 0.2493 0.2493 0.2493
Tl 0.7507 0.7507 0.7507
Fe 0.0000 0.0000 0.0000
Rh 0.5000 0.5000 0.5000

Summary:
**ΔE_f**: 1.90 eV per formula unit
**Crystal system**: trigonal
**E**: -4.66 eV per atom
**Energy above the lowest structure with this stoichiometry**: 210.5 meV per atom